Below is crystalline Ni4PdW at its relaxed geometry, with properties calculated at the PBE-GGA level.

Calculated values
As for the space group: C2/m, No. 12. The value obtained for the total magnetic moment is 0.000 μB/atom. As for the relative energy among the computed polymorphs: 319 meV per atom. As for the total energy: -6.63 eV per atom. As for the formation energy: 0.25 eV per atom.

Lattice parameters (Å, degrees): 6.219 4.867 6.405 112.33 66.34 90.00
Fractional positions:
Ni 0.853 0.189 0.379
Pd 0.736 0.419 0.838
Ni 0.434 0.609 0.725
Ni 0.000 0.250 0.000
W 0.186 0.257 0.515
Ni 0.000 0.750 0.000
Ni 0.566 0.391 0.275
Ni 0.566 0.884 0.275
Ni 0.147 0.811 0.621
W 0.814 0.743 0.485
Ni 0.434 0.116 0.725
Pd 0.264 0.581 0.162

---

Below is crystalline Ni4Pd3W at its relaxed geometry, with properties calculated at the PBE-GGA level.

Calculated values
As for the space group: I4/mmm, No. 139. The value obtained for the total magnetic moment is 0.000 μB/atom. As for the total energy: -6.47 eV per atom. As for the formation energy: -0.01 eV per atom.

Lattice parameters (Å, degrees): 3.849 3.849 7.631 104.62 104.61 90.00
Fractional positions:
Ni 0.120 0.120 0.241
Pd 0.000 0.500 0.000
W 0.500 0.000 0.000
Ni 0.620 0.620 0.241
Pd 0.248 0.748 0.496
Ni 0.880 0.880 0.759
Ni 0.380 0.380 0.759
Pd 0.752 0.252 0.504

---

Below is crystalline ZnNi2PdW at its relaxed geometry, with properties calculated at the PBE-GGA level.

Calculated values
As for the space group: P4/mmm, No. 123. The value obtained for the total magnetic moment is 0.423 μB/atom. As for the total energy: -4.61 eV per atom. As for the formation energy: 1.59 eV per atom.

Lattice parameters (Å, degrees): 4.567 4.677 4.567 90.00 90.00 90.00
Last column: magnetic moment on the atom in μB.
Fractional positions:
Ni 0.000 0.000 0.500  0.69
Ni 0.500 0.000 0.000  0.64
Pd 0.000 0.000 0.000  0.09
Zn 0.500 0.500 0.500  -0.01
W 0.000 0.500 0.000  0.58

---

- What is the total magnetic moment in the second record?
  0.000 μB/atom

---

- Number 1 is which compound?
  Ni4PdW

---

- Number 1 is which compound?
  Ni4PdW

---

- total magnetic moment of number 3 (ZnNi2PdW)?
  0.423 μB/atom